First-principles (PBE) data for an optimized crystal structure of CaPrBi4Pb2, as listed in Alexandria via LeMat-Bulk.

**ΔH_f (0 K)**: -0.4130 eV/atom
**N(E_F)**: 11.52 states/eV per cell
**Total magnetization**: 0.00 μB per cell

Unit cell a=7.3546 b=7.3546 c=9.2283 alpha=90.00 beta=90.00 gamma=90.00
Space group I4/mmm (No. 139)
Asymmetric unit:
Ca1 0.0000 0.0000 0.0000
Pr1 0.0000 0.0000 0.5000
Bi1 0.2500 0.2500 0.2500
Pb1 0.0000 0.5000 0.0000


First-principles (PBE) data for an optimized crystal structure of CaPrBiPb, as listed in Alexandria via LeMat-Bulk.

**ΔH_f (0 K)**: -0.5441 eV/atom
**N(E_F)**: 19.11 states/eV per cell
**Total magnetization**: 0.00 μB per cell

Unit cell a=7.9787 b=7.9787 c=7.9787 alpha=90.00 beta=90.00 gamma=90.00
Space group F-43m (No. 216)
Asymmetric unit:
Ca1 0.0000 0.0000 0.0000
Pr1 0.0000 0.0000 0.5000
Bi1 0.2500 0.2500 0.7500
Pb1 0.2500 0.2500 0.2500